1:
A geometry-optimized BaFeCo2 structure, computed with PBE.

Output
Magnetic moment   0.5 μB per formula unit
Symmetry   No. 141

Lattice parameters (Å, degrees): 4.9036 4.9036 8.0094 72.17 72.17 90.00
With the nearest neighbours (Å) after each atom.
Fractional coordinates of all 8 atoms:
1 Fe 0.2500 0.7500 0.5000  4 Co 2.18
2 Fe 0.5000 0.5000 0.0000  4 Co 2.18
3 Co 0.8750 0.6254 0.7500  2 Fe 2.18
4 Co 0.3754 0.1250 0.2500  2 Fe 2.18
5 Co 0.3750 0.6246 0.7500  2 Fe 2.18
6 Co 0.3746 0.6250 0.2500  2 Fe 2.18
7 Ba 0.7500 0.2500 0.5000  8 Co 3.28, 4 Fe 3.47
8 Ba 0.0000 0.0000 0.0000  8 Co 3.28, 4 Fe 3.47


2:
A geometry-optimized BaFeCo2 structure, computed with PBE.

Output
Magnetic moment   4.7 μB per formula unit
Symmetry   No. 10

Lattice parameters (Å, degrees): 4.0009 4.2282 5.3245 78.82 90.00 90.00
With the nearest neighbours (Å) after each atom.
Fractional coordinates of all 4 atoms:
1 Fe 0.5000 0.2500 0.2500  4 Co 2.31
2 Co 0.0000 0.4891 0.3257  2 Co 2.20-2.32, 2 Fe 2.31
3 Co 0.0000 0.0109 0.1743  2 Co 2.20-2.32, 2 Fe 2.31
4 Ba 0.5000 0.7500 0.7500  2 Fe 3.06, 4 Co 3.36


3:
A geometry-optimized BaFeCo2 structure, computed with PBE.

Output
Magnetic moment   5.8 μB per formula unit
Symmetry   No. 71

Lattice parameters (Å, degrees): 5.4626 5.4626 5.4626 146.44 121.27 69.36
With the nearest neighbours (Å) after each atom.
Fractional coordinates of all 4 atoms:
1 Co 0.4508 0.4508 0.0000  2 Fe 2.40
2 Co 0.0492 0.0492 0.0000  2 Fe 2.40
3 Ba 0.7500 0.2500 0.5000  4 Fe 3.11, 8 Co 3.12-3.23, 2 Ba 3.15
4 Fe 0.2500 0.7500 0.5000  4 Co 2.40


4:
A geometry-optimized BaFeCo2 structure, computed with PBE.

Output
Magnetic moment   5.5 μB per formula unit
Symmetry   No. 12

Lattice parameters (Å, degrees): 5.4649 5.1386 3.0602 78.87 78.63 118.23
With the nearest neighbours (Å) after each atom.
Fractional coordinates of all 4 atoms:
1 Ba 0.5000 0.5000 0.0000  4 Co 2.72, 2 Fe 2.86
2 Co 0.0000 0.0000 0.0000  2 Fe 2.72, 2 Ba 2.72, 2 Co 2.86
3 Co 0.5000 0.0000 0.5000  2 Ba 2.72, 2 Fe 2.72, 2 Co 2.86
4 Fe 0.0000 0.5000 0.5000  4 Co 2.72, 2 Ba 2.86


Relative energies with respect to the most stable structure, expressed in eV/atom: 1 0.118; 2 0.000; 3 0.274; 4 0.468.


1:
A geometry-optimized BaFeCo2 structure, computed with PBE.

Output
Magnetic moment   5.9 μB per formula unit
Symmetry   No. 6

Lattice parameters (Å, degrees): 3.7878 3.5844 6.4178 73.80 90.00 90.00
With the nearest neighbours (Å) after each atom.
Fractional coordinates of all 4 atoms:
1 Ba 0.5000 0.7940 0.7856  5 Co 3.09-3.22
2 Co 0.5000 0.0459 0.2850  2 Co 2.23
3 Co 0.0000 0.1408 0.0931  2 Co 2.23, 2 Fe 2.34
4 Fe 0.0000 0.5194 0.3363  2 Co 2.34


2:
A geometry-optimized BaFeCo2 structure, computed with PBE.

Output
Magnetic moment   5.1 μB per formula unit
Symmetry   No. 47

Lattice parameters (Å, degrees): 3.3887 4.7507 4.3705 90.00 90.00 90.00
With the nearest neighbours (Å) after each atom.
Fractional coordinates of all 4 atoms:
1 Co 0.0000 0.0000 0.0000  4 Fe 2.77, 4 Co 2.92
2 Co 0.5000 0.5000 0.0000  4 Ba 2.77, 4 Co 2.92
3 Fe 0.5000 0.0000 0.5000  4 Co 2.77, 4 Ba 2.92
4 Ba 0.0000 0.5000 0.5000  4 Co 2.77, 4 Fe 2.92


Relative energies with respect to the most stable structure, expressed in eV/atom: 1 0.000; 2 0.558.


1:
A geometry-optimized BaFeCo2 structure, computed with PBE.

Output
Magnetic moment   5.9 μB per formula unit
Symmetry   No. 44

Lattice parameters (Å, degrees): 5.6343 5.6343 5.6343 148.46 124.41 65.33
With the nearest neighbours (Å) after each atom.
Fractional coordinates of all 4 atoms:
1 Co 0.0541 0.0541 0.0000  2 Co 2.40
2 Co 0.2488 0.7488 0.5000  2 Co 2.40, 2 Fe 2.41
3 Fe 0.4449 0.4449 0.0000  2 Co 2.41
4 Ba 0.7522 0.2522 0.5000  8 Co 3.04-3.25, 2 Ba 3.06, 4 Fe 3.20-3.29


2:
A geometry-optimized BaFeCo2 structure, computed with PBE.

Output
Magnetic moment   5.8 μB per formula unit
Symmetry   No. 119

Lattice parameters (Å, degrees): 5.3940 5.3940 5.3940 137.22 137.22 62.10
With the nearest neighbours (Å) after each atom.
Fractional coordinates of all 4 atoms:
1 Co 0.2500 0.7500 0.5000  4 Ba 2.78, 4 Fe 3.03, 4 Co 3.03
2 Co 0.0000 0.0000 0.0000  4 Fe 2.78, 4 Ba 3.03, 4 Co 3.03
3 Fe 0.5000 0.5000 0.0000  8 Co 2.78-3.03, 4 Ba 3.03
4 Ba 0.7500 0.2500 0.5000  8 Co 2.78-3.03, 4 Fe 3.03


3:
A geometry-optimized BaFeCo2 structure, computed with PBE.

Output
Magnetic moment   5.2 μB per formula unit
Symmetry   No. 225

Lattice parameters (Å, degrees): 4.6643 4.6643 4.6643 60.00 60.00 60.00
With the nearest neighbours (Å) after each atom.
Fractional coordinates of all 4 atoms:
1 Fe 0.0000 0.0000 0.0000  8 Co 2.86
2 Ba 0.5000 0.5000 0.5000  8 Co 2.86
3 Co 0.2500 0.2500 0.2500  4 Ba 2.86, 4 Fe 2.86
4 Co 0.7500 0.7500 0.7500  4 Ba 2.86, 4 Fe 2.86


4:
A geometry-optimized BaFeCo2 structure, computed with PBE.

Output
Magnetic moment   6.2 μB per formula unit
Symmetry   No. 99

Lattice parameters (Å, degrees): 3.1694 3.1670 7.3933 90.00 90.00 90.00
With the nearest neighbours (Å) after each atom.
Fractional coordinates of all 4 atoms:
1 Co 0.0000 0.0000 0.0969  1 Fe 2.25, 4 Co 2.49
2 Co 0.5000 0.5000 0.2449  4 Co 2.49, 4 Fe 2.52
3 Fe 0.0000 0.0000 0.4008  1 Co 2.25
4 Ba 0.5000 0.5000 0.7573  4 Ba 3.17, 4 Co 3.37, 4 Fe 3.46


Relative energies with respect to the most stable structure, expressed in eV/atom: 1 0.284; 2 0.512; 3 0.442; 4 0.000.


1:
A geometry-optimized BaFeCo2 structure, computed with PBE.

Output
Magnetic moment   4.7 μB per formula unit
Symmetry   No. 160

Lattice parameters (Å, degrees): 6.1678 6.1678 6.1678 38.77 38.77 38.77
With the nearest neighbours (Å) after each atom.
Fractional coordinates of all 4 atoms:
1 Co 0.2567 0.2567 0.2567  3 Co 2.37, 3 Fe 2.41
2 Co 0.9310 0.9310 0.9310  3 Co 2.37, 3 Fe 2.44
3 Fe 0.5631 0.5631 0.5631  6 Co 2.41-2.44
4 Ba 0.7492 0.7492 0.7492  1 Co 3.11, 4 Fe 3.18-3.45


2:
A geometry-optimized BaFeCo2 structure, computed with PBE.

Output
Magnetic moment   5.9 μB per formula unit
Symmetry   No. 123

Lattice parameters (Å, degrees): 3.1555 3.1555 7.3326 90.00 90.00 90.00
With the nearest neighbours (Å) after each atom.
Fractional coordinates of all 4 atoms:
1 Ba 0.5000 0.5000 0.7500  4 Ba 3.16, 8 Co 3.36
2 Co 0.0000 0.0000 0.4069  1 Co 2.30, 4 Fe 2.51
3 Co 0.0000 0.0000 0.0931  1 Co 2.30, 4 Fe 2.51
4 Fe 0.5000 0.5000 0.2500  8 Co 2.51


3:
A geometry-optimized BaFeCo2 structure, computed with PBE.

Output
Magnetic moment   5.2 μB per formula unit
Symmetry   No. 65

Lattice parameters (Å, degrees): 4.6620 4.6620 3.2772 90.00 90.00 90.22
With the nearest neighbours (Å) after each atom.
Fractional coordinates of all 4 atoms:
1 Co 0.0000 0.0000 0.0000  4 Fe 2.85, 4 Ba 2.85
2 Co 0.5000 0.5000 0.0000  4 Ba 2.85, 4 Fe 2.85
3 Fe 0.5000 0.0000 0.5000  8 Co 2.85
4 Ba 0.0000 0.5000 0.5000  8 Co 2.85


4:
A geometry-optimized BaFeCo2 structure, computed with PBE.

Output
Magnetic moment   5.0 μB per formula unit
Symmetry   No. 216

Lattice parameters (Å, degrees): 4.6228 4.6228 4.6228 60.00 60.00 60.00
With the nearest neighbours (Å) after each atom.
Fractional coordinates of all 4 atoms:
1 Fe 0.7500 0.7500 0.7500  4 Co 2.83, 4 Ba 2.83
2 Ba 0.5000 0.5000 0.5000  4 Co 2.83, 4 Fe 2.83
3 Co 0.2500 0.2500 0.2500  4 Co 2.83, 4 Ba 2.83
4 Co 0.0000 0.0000 0.0000  4 Fe 2.83, 4 Co 2.83


Relative energies with respect to the most stable structure, expressed in eV/atom: 1 0.000; 2 0.273; 3 0.759; 4 0.811.


1:
A geometry-optimized BaFeCo structure, computed with PBE.

Output
Magnetic moment   3.1 μB per formula unit
Symmetry   No. 187

Lattice parameters (Å, degrees): 3.9849 3.9849 5.0095 90.00 90.00 120.00
With the nearest neighbours (Å) after each atom.
Fractional coordinates of all 3 atoms:
1 Ba 0.0000 0.0000 0.0001  6 Co 3.40, 6 Fe 3.40
2 Fe 0.6667 0.3333 0.5001  3 Co 2.30
3 Co 0.3333 0.6667 0.4998  3 Fe 2.30


2:
A geometry-optimized BaFeCo structure, computed with PBE.

Output
Magnetic moment   5.0 μB per formula unit
Symmetry   No. 216

Lattice parameters (Å, degrees): 5.0036 5.0036 5.0036 60.00 60.00 60.00
With the nearest neighbours (Å) after each atom.
Fractional coordinates of all 3 atoms:
1 Fe 0.5000 0.5000 0.5000  4 Ba 3.06
2 Co 0.0000 0.0000 0.0000  4 Ba 3.06
3 Ba 0.7500 0.7500 0.7500  4 Fe 3.06, 4 Co 3.06


Relative energies with respect to the most stable structure, expressed in eV/atom: 1 0.000; 2 1.257.


1:
A geometry-optimized BaFeCo structure, computed with PBE.

Output
Magnetic moment   3.8 μB per formula unit
Symmetry   No. 107

Lattice parameters (Å, degrees): 6.1783 6.1783 3.3443 74.30 74.30 31.41
With the nearest neighbours (Å) after each atom.
Fractional coordinates of all 3 atoms:
1 Fe 0.7253 0.7253 0.2747  4 Co 2.43
2 Ba 0.9999 0.9999 0.0001  5 Fe 3.13-3.49, 5 Co 3.14-3.49, 4 Ba 3.34
3 Co 0.2747 0.2747 0.7253  4 Fe 2.43


2:
A geometry-optimized BaFeCo structure, computed with PBE.

Output
Magnetic moment   4.5 μB per formula unit
Symmetry   No. 216

Lattice parameters (Å, degrees): 4.7181 4.7181 4.7181 60.00 60.00 60.00
With the nearest neighbours (Å) after each atom.
Fractional coordinates of all 3 atoms:
1 Fe 0.0000 0.0000 0.0000  4 Co 2.89
2 Ba 0.5000 0.5000 0.5000  4 Co 2.89
3 Co 0.7500 0.7500 0.7500  4 Ba 2.89, 4 Fe 2.89


Relative energies with respect to the most stable structure, expressed in eV/atom: 1 0.000; 2 0.438.


1:
A geometry-optimized Ba2FeCo structure, computed with PBE.

Output
Magnetic moment   3.5 μB per formula unit
Symmetry   No. 119

Lattice parameters (Å, degrees): 6.2972 6.2972 6.2972 137.42 137.42 61.79
With the nearest neighbours (Å) after each atom.
Fractional coordinates of all 4 atoms:
1 Ba 0.0000 0.0000 0.0000  4 Co 3.23, 4 Ba 3.54, 4 Fe 3.54
2 Ba 0.2500 0.7500 0.5000  4 Fe 3.23, 4 Co 3.54, 4 Ba 3.54
3 Co 0.5000 0.5000 0.0000  8 Ba 3.23-3.54, 4 Fe 3.54
4 Fe 0.7500 0.2500 0.5000  8 Ba 3.23-3.54, 4 Co 3.54


2:
A geometry-optimized Ba2FeCo structure, computed with PBE.

Output
Magnetic moment   3.4 μB per formula unit
Symmetry   No. 12

Lattice parameters (Å, degrees): 4.5717 4.5717 8.3771 80.33 80.33 47.53
With the nearest neighbours (Å) after each atom.
Fractional coordinates of all 4 atoms:
1 Fe 0.2500 0.2500 0.2500  6 Ba 3.28-3.35
2 Co 0.7500 0.7500 0.7500  6 Ba 3.14-3.17
3 Ba 0.0075 0.0075 0.9837  3 Co 3.14-3.17, 3 Fe 3.28-3.35
4 Ba 0.4925 0.4925 0.5163  3 Co 3.14-3.17, 3 Fe 3.28-3.35


Relative energies with respect to the most stable structure, expressed in eV/atom: 1 0.000; 2 0.048.


1:
A geometry-optimized Ba2FeCo structure, computed with PBE.

Output
Magnetic moment   4.3 μB per formula unit
Symmetry   No. 99

Lattice parameters (Å, degrees): 3.4952 3.4952 9.3715 90.00 90.00 90.02
With the nearest neighbours (Å) after each atom.
Fractional coordinates of all 4 atoms:
1 Co 0.0000 0.0000 0.5996  4 Fe 2.52
2 Ba 0.5000 0.5000 0.3364  1 Fe 2.96
3 Ba 0.0000 0.0000 0.9113  1 Co 2.92
4 Fe 0.5000 0.5000 0.6527  4 Co 2.52


2:
A geometry-optimized Ba2FeCo structure, computed with PBE.

Output
Magnetic moment   3.4 μB per formula unit
Symmetry   No. 166

Lattice parameters (Å, degrees): 9.1111 9.1111 9.1111 26.05 26.05 26.05
With the nearest neighbours (Å) after each atom.
Fractional coordinates of all 4 atoms:
1 Ba 0.5057 0.5057 0.5057  3 Co 3.13, 3 Fe 3.34
2 Ba 0.9943 0.9943 0.9943  3 Co 3.13, 3 Fe 3.34
3 Co 0.2500 0.2500 0.2500  6 Ba 3.13
4 Fe 0.7500 0.7500 0.7500  6 Ba 3.34


3:
A geometry-optimized Ba2FeCo structure, computed with PBE.

Output
Magnetic moment   3.9 μB per formula unit
Symmetry   No. 216

Lattice parameters (Å, degrees): 5.2954 5.2954 5.2954 60.00 60.00 60.00
With the nearest neighbours (Å) after each atom.
Fractional coordinates of all 4 atoms:
1 Co 0.5000 0.5000 0.5000  4 Ba 3.24, 4 Fe 3.24
2 Fe 0.7500 0.7500 0.7500  4 Ba 3.24, 4 Co 3.24
3 Ba 0.2500 0.2500 0.2500  4 Ba 3.24, 4 Co 3.24
4 Ba 0.0000 0.0000 0.0000  4 Fe 3.24, 4 Ba 3.24


Relative energies with respect to the most stable structure, expressed in eV/atom: 1 0.000; 2 0.500; 3 0.441.